# Na2CrWF, relaxed, DFT PBE with a Hubbard U
data_Na2CrWF
_symmetry_space_group_name_H-M 'P 1'
_symmetry_Int_Tables_number 1
_cell_length_a 6.004
_cell_length_b 6.004
_cell_length_c 5.213
_cell_angle_alpha 90.00
_cell_angle_beta 90.00
_cell_angle_gamma 90.00
loop_
_symmetry_equiv_pos_as_xyz
'x,y,z'
loop_
_atom_site_label
_atom_site_type_symbol
_atom_site_fract_x
_atom_site_fract_y
_atom_site_fract_z
Na1 Na 0.000 0.500 0.000
Na2 Na 0.500 0.000 0.000
Cr1 Cr 0.000 0.000 0.500
W1 W 0.000 0.000 0.000
F1 F 0.500 0.500 0.500
# DFT total energy = -15.85 eV/cell
# SG = No. 123
# N(E_F) = 3.00 states/eV/cell